HfNbTe2N: relaxed, PBE.

Formation energy from raw total energies (meV/atom): 182
Magnetic moment (μB/f.u.): 0.0
Fermi-level density of states (states/eV/f.u.): 3.2

Lattice parameters (Å, degrees): 5.539 5.539 3.853 90.00 90.00 90.00
Fractional coordinates of all 5 atoms:
Hf 0.000 0.000 0.000
Nb 0.500 0.500 0.500
Te 0.000 0.500 0.500
Te 0.500 0.000 0.500
N 0.500 0.500 0.000

***

Pr2ZnSi2Rh5: relaxed, PBE.

Formation energy from raw total energies (meV/atom): -774
Magnetic moment (μB/f.u.): 0.0
Fermi-level density of states (states/eV/f.u.): 2.8

Lattice parameters (Å, degrees): 9.978 9.978 3.467 90.00 90.00 90.00
Fractional coordinates of all 20 atoms:
Pr 0.176 0.324 0.000
Pr 0.324 0.824 0.000
Pr 0.676 0.176 0.000
Pr 0.824 0.676 0.000
Zn 0.000 0.000 0.000
Zn 0.500 0.500 0.000
Si 0.123 0.623 0.000
Si 0.377 0.123 0.000
Si 0.623 0.877 0.000
Si 0.877 0.377 0.000
Rh 0.000 0.500 0.500
Rh 0.067 0.786 0.500
Rh 0.214 0.067 0.500
Rh 0.286 0.567 0.500
Rh 0.433 0.286 0.500
Rh 0.500 0.000 0.500
Rh 0.567 0.714 0.500
Rh 0.714 0.433 0.500
Rh 0.786 0.933 0.500
Rh 0.933 0.214 0.500

***

K4Mo: relaxed, PBE.

Magnetic moment (μB/f.u.): 5.1
E_form (meV/atom): 1105
Fermi-level density of states (states/eV/f.u.): 3.6

Lattice parameters (Å, degrees): 5.296 5.296 22.196 90.00 90.00 90.00
Fractional coordinates of all 10 atoms:
K 0.000 0.000 0.083
K 0.000 0.000 0.917
K 0.000 0.500 0.250
K 0.000 0.500 0.750
K 0.500 0.000 0.250
K 0.500 0.000 0.750
K 0.500 0.500 0.417
K 0.500 0.500 0.583
Mo 0.000 0.000 0.500
Mo 0.500 0.500 0.000